# 1
Here is an optimized crystal structure of Na12As5I3 from the Alexandria database. Energies are from PBE.

Geometry as POSCAR:
```
Na12As5I3
1.0
15.5234 0.0000 0.0000
-5.1745 14.6356 0.0000
-5.1745 -7.3178 12.6748
I As Na
12 20 48
Cartesian
9.0553 4.5736 1.5843
9.0553 10.0620 1.5843
-1.2936 6.4031 7.9217
1.2936 -0.9147 4.7530
11.6425 0.0000 3.1687
1.2936 7.3178 3.1687
3.8808 0.0000 9.5061
-6.4681 7.3178 9.5061
3.8808 8.2325 7.9217
6.4681 0.9147 4.7530
-3.8808 -2.7442 11.0904
-3.8808 2.7442 11.0904
-1.2936 3.6589 3.1687
-2.5872 7.3178 0.0000
0.0000 0.0000 0.0000
3.8808 2.7442 1.5843
5.1745 -3.6589 6.3374
5.1745 7.3178 0.0000
-3.8808 8.2325 4.7530
6.4681 -4.5736 11.0904
6.4681 6.4031 4.7530
1.2936 -3.6589 9.5061
3.8808 10.9767 3.1687
2.5872 3.6589 6.3374
7.7617 0.0000 0.0000
-2.5872 -3.6589 6.3374
-1.2936 0.9147 7.9217
-1.2936 11.8914 1.5843
-5.1745 3.6589 6.3374
9.0553 -0.9147 7.9217
1.2936 4.5736 11.0904
6.4681 3.6589 9.5061
10.2497 1.3173 0.4516
0.0992 4.7087 5.4224
11.4305 3.6036 3.6998
6.6801 2.2565 1.3666
2.1746 5.4424 8.5233
11.1171 7.1123 2.1859
-1.0816 8.6649 5.0665
-4.0929 12.3790 1.3666
0.4126 9.1931 8.5233
6.9935 7.5233 2.1859
7.8609 3.9264 4.9708
7.8609 13.3183 0.4516
-4.7618 6.4437 6.7890
3.3554 5.5275 1.2709
-5.2737 10.7091 4.9708
2.6864 -2.6091 7.2524
-0.4126 1.0013 2.6375
3.3554 9.3136 0.9150
6.6801 11.0319 3.6998
-0.7682 5.3220 0.9150
-2.9999 8.3191 10.0372
3.6688 5.9707 5.0665
7.3490 8.1918 6.7890
5.9426 -1.7903 11.4039
1.5056 1.3471 7.6083
-2.1746 -0.8741 5.8858
-0.7682 9.1081 1.2709
-1.5056 -3.7142 8.9749
8.1743 -1.0013 2.6375
5.9426 1.9958 11.7598
1.8191 -1.9958 11.7598
2.4880 9.9269 5.4224
5.5871 6.3165 10.0372
10.4481 -3.3913 7.7040
9.9363 0.8741 5.8858
-2.6864 -6.0005 12.2232
1.8191 1.7903 11.4039
4.7618 -1.8754 4.1515
-1.8191 -0.2055 10.4888
-2.6864 3.3913 7.7040
9.2673 -5.0612 11.3081
6.2560 -1.3471 7.6083
-1.5056 5.0612 11.3081
-5.9426 0.2055 10.4888
2.9999 1.8754 4.1515
-6.2560 3.7142 8.9749
5.0752 2.6091 7.2524
-5.0752 6.0005 12.2232
```

mass density: 2.4 g cm⁻³
SG: Ia-3d, No. 230


# 2
Here is an optimized crystal structure of Na4AsI from the Alexandria database. Energies are from PBE.

Geometry as POSCAR:
```
Na4AsI
1.0
7.0299 0.1256 0.0000
-1.6527 8.3553 0.0000
-2.6886 -4.2405 6.9550
Na As I
8 2 2
Cartesian
4.2873 -1.8669 6.1700
2.6762 3.3854 4.7097
-0.7723 1.9297 6.1700
-0.8139 5.0328 4.7097
3.5026 -0.7923 2.2452
3.4610 2.3108 0.7849
0.0124 0.8551 2.2452
-1.5987 6.1074 0.7849
-2.5838 4.1463 6.8885
5.2725 0.0942 0.0664
0.9312 4.2091 1.9421
1.7575 0.0314 5.0129
```

mass density: 2.4 g cm⁻³
SG: C2/c, No. 15


# 3
Here is an optimized crystal structure of Na2As2I from the Alexandria database. Energies are from PBE.

Geometry as POSCAR:
```
Na2As2I
1.0
-7.1165 -2.5762 -3.8393
-2.3260 -4.0956 7.0596
-2.0197 3.5240 1.3790
I Na As
2 4 4
Cartesian
0.0000 0.0000 0.0000
-4.7213 -3.3359 1.6101
-4.1220 -4.1386 4.5389
-7.3855 -4.9076 1.7245
-5.3205 -2.5333 -1.3187
-2.0570 -1.7642 1.4957
-3.0522 -0.9072 4.5192
-7.3402 -3.4802 4.8144
-8.4100 -2.2406 0.0801
-4.1220 0.3324 -0.2151
```

mass density: 3.5 g cm⁻³
SG: P4/mbm, No. 127


no.,electronic total energy (eV/cell),total magnetization (μB per atom)
1,-199.12,0.302
2,-29.46,0.000
3,-30.88,0.000